# LiMnO2, relaxed, DFT PBE+U
data_LiMnO2
_cell_length_a 4.2981
_cell_length_b 8.7216
_cell_length_c 5.9178
_cell_angle_alpha 90.00
_cell_angle_beta 90.00
_cell_angle_gamma 90.00
_symmetry_space_group_name_H-M 'P m m n'
_symmetry_Int_Tables_number 59
loop_
_symmetry_equiv_pos_as_xyz
'x,y,z'
'-x,-y,-z'
'-x+1/2,-y+1/2,z'
'x+1/2,y+1/2,-z'
'x+1/2,-y,-z'
'-x+1/2,y,z'
'-x,y+1/2,-z'
'x,-y+1/2,z'
loop_
_atom_site_label
_atom_site_fract_x
_atom_site_fract_y
_atom_site_fract_z
_atom_site_occupancy
Li1 0.2500 0.0839 0.1296 1
Li2 0.2500 0.7500 0.6228 1
Mn1 0.2500 0.0786 0.6313 1
Mn2 0.2500 0.7500 0.0927 1
O1 0.2500 0.2500 0.4197 1
O2 0.2500 0.2500 0.8662 1
O3 0.2500 0.5766 0.3756 1
O4 0.2500 0.5786 0.8603 1
# Total energy (eV/atom): -6.575
# D(E_F) (states/eV/f.u.): 0.366

=====

# Li2Mn3O6, relaxed, DFT PBE+U
data_Li2Mn3O6
_cell_length_a 14.6592
_cell_length_b 2.8853
_cell_length_c 5.1827
_cell_angle_alpha 90.00
_cell_angle_beta 100.89
_cell_angle_gamma 90.00
_symmetry_space_group_name_H-M 'C 1 2/m 1'
_symmetry_Int_Tables_number 12
_symmetry_space_group_name_Hall '-C 2y'
loop_
_atom_site_label
_atom_site_fract_x
_atom_site_fract_y
_atom_site_fract_z
_atom_site_occupancy
Li1 0.1831 0.0000 0.0748 1
Mn1 0.0000 0.0000 0.0000 1
Mn2 0.1484 0.5000 0.5516 1
O1 0.0705 0.5000 0.8774 1
O2 0.0929 0.0000 0.3272 1
O3 0.2261 0.0000 0.7343 1
# Excess energy over the best structure of this formula in the dataset (meV per atom): 10
# D(E_F) (states/eV/f.u.): 0.277

=====

# Li2Mn2O5, relaxed, DFT PBE+U
data_Li2Mn2O5
_cell_length_a 11.5474
_cell_length_b 5.2886
_cell_length_c 5.4058
_cell_angle_alpha 90.00
_cell_angle_beta 90.00
_cell_angle_gamma 90.00
_symmetry_space_group_name_H-M 'C m c e'
_symmetry_Int_Tables_number 64
_symmetry_space_group_name_Hall '-C 2ac 2'
loop_
_atom_site_label
_atom_site_fract_x
_atom_site_fract_y
_atom_site_fract_z
_atom_site_occupancy
Li1 0.0000 0.1796 0.1822 1
Mn1 0.1753 0.0000 0.5000 1
O1 0.0000 0.0000 0.5000 1
O2 0.1555 0.1702 0.8396 1
# Total energy (eV/atom): -6.126
# D(E_F) (states/eV/f.u.): 3.520

=====

no.,size of the total moment (μB per cell)
1,24.00
2,22.00
3,24.00